No. 1
# TmZr3Tc2

TmZr3Tc2 after structural relaxation (GGA-PBE, Alexandria).

As for the calculated formation energy: -0.22 eV/atom. The density of states at the Fermi level comes out at 1.08 states/eV/atom. The calculation puts the calculated total energy at -8.690 eV/atom.

Cell and atoms, written as CIF:
```
data_TmZr3Tc2
_cell_length_a 3.340
_cell_length_b 3.340
_cell_length_c 11.084
_cell_angle_alpha 90.00
_cell_angle_beta 90.00
_cell_angle_gamma 90.00
_symmetry_space_group_name_H-M 'P 4/m m m'
_symmetry_Int_Tables_number 123
_symmetry_space_group_name_Hall '-P 4 2'
loop_
_atom_site_label
_atom_site_fract_x
_atom_site_fract_y
_atom_site_fract_z
_atom_site_occupancy
Tm1 0.000 0.000 0.000 1
Zr1 0.500 0.500 0.213 1
Zr2 0.500 0.500 0.500 1
Tc1 0.000 0.000 0.347 1
```


No. 2
# TmZr5Tc4

TmZr5Tc4 after structural relaxation (GGA-PBE, Alexandria).

As for the calculated formation energy: -0.27 eV/atom. The density of states at the Fermi level comes out at 1.07 states/eV/atom. The calculation puts the calculated total energy at -9.137 eV/atom.

Cell and atoms, written as CIF:
```
data_TmZr5Tc4
_cell_length_a 3.321
_cell_length_b 3.321
_cell_length_c 17.759
_cell_angle_alpha 90.00
_cell_angle_beta 90.00
_cell_angle_gamma 90.00
_symmetry_space_group_name_H-M 'P 4/m m m'
_symmetry_Int_Tables_number 123
_symmetry_space_group_name_Hall '-P 4 2'
loop_
_atom_site_label
_atom_site_fract_x
_atom_site_fract_y
_atom_site_fract_z
_atom_site_occupancy
Tm1 0.000 0.000 0.000 1
Zr1 0.500 0.500 0.136 1
Zr2 0.500 0.500 0.317 1
Zr3 0.500 0.500 0.500 1
Tc1 0.000 0.000 0.219 1
Tc2 0.000 0.000 0.407 1
```


| no. | total magnetic moment (μB per atom) |
| --- | --- |
| 1 | 0.000 |
| 2 | 0.000 |